# 1
Computed, not measured: Y2TaAs after structural relaxation at the PBE level of DFT.

The value obtained for the formation energy is -265 meV per atom.

The structure belongs to space group P4/mmm (No. 123); the cell edges are 3.652, 3.652 and 6.942 Å and the angles 90.00°, 90.00° and 90.00°. The asymmetric unit holds Y at (0.000, 0.000, 0.231), Ta at (0.500, 0.500, 0.500) and As at (0.500, 0.500, 0.000).

=====

# 2
Computed, not measured: La2WN5 after structural relaxation at the PBE level of DFT.

The value obtained for the formation energy from raw total energies is -0.345 eV/atom.

The structure belongs to space group P4/mmm (No. 123); the cell edges are 5.480, 5.480 and 3.912 Å and the angles 90.00°, 90.00° and 90.00°. The asymmetric unit holds La at (0.000, 0.500, 0.000), W at (0.000, 0.000, 0.500), N at (0.000, 0.000, 0.000) and N at (0.260, 0.260, 0.500).